Here is an optimized crystal structure of MnRePdSe from Alexandria. Energies are from PBE-GGA.

SG = Pmm2
Energy relative to the elements, uncorrected = 0.1271 eV per atom
Relative energy among the computed polymorphs = 0.0522 eV/atom
D(E_F) = 3.01 states/eV per cell
Theoretical density = 11.36 g/cm³
M_tot = 1.18 μB/f.u.

Cell lengths 2.7725, 2.7809, 8.0877 Å; angles 90.00, 90.00, 90.00 degrees
Fractional coordinates of all 4 atoms:
Mn  0.0000  0.0000  0.0000
Re  0.5000  0.5000  0.8008
Pd  0.0000  0.0000  0.5532
Se  0.5000  0.0000  0.2505

=====

Here is an optimized crystal structure of ScBe2Fe from Alexandria. Energies are from PBE-GGA.

SG = I4_1/amd
Relative energy among the computed polymorphs = 0.3820 eV/atom
D(E_F) = 5.77 states/eV per cell
Theoretical density = 3.46 g/cm³
M_tot = 0.54 μB/f.u.
Energy relative to the elements = 28.82 kJ per mole of atoms

Cell lengths 8.0675, 8.0675, 8.0675 Å; angles 152.19, 152.19, 39.74 degrees
Fractional coordinates of all 8 atoms:
Sc  0.3750  0.6250  0.7500
Sc  0.6250  0.3750  0.2500
Be  0.0000  0.0000  0.0000
Be  0.0000  0.0000  0.5000
Be  0.0000  0.5000  0.0000
Be  0.5000  0.0000  0.5000
Fe  0.1250  0.8750  0.2500
Fe  0.8750  0.1250  0.7500

=====

Here is an optimized crystal structure of Tc2SbO8 from Alexandria. Energies are from PBE-GGA.

SG = C2/m
Energy relative to the elements, uncorrected = -1.2377 eV per atom
Relative energy among the computed polymorphs = 0.0000 eV/atom
D(E_F) = 0.99 states/eV per cell
Theoretical density = 3.29 g/cm³
M_tot = 1.03 μB/f.u.

Cell lengths 6.4356, 6.4356, 5.4681 Å; angles 94.20, 94.20, 90.19 degrees
Fractional coordinates of all 11 atoms:
Tc  0.2332  0.2332  0.1269
Tc  0.7668  0.7668  0.8731
Sb  0.0000  0.0000  0.5000
O  0.0061  0.7242  0.7193
O  0.1837  0.1837  0.8012
O  0.2758  0.9939  0.2807
O  0.4165  0.4165  0.2279
O  0.5835  0.5835  0.7721
O  0.7242  0.0061  0.7193
O  0.8163  0.8163  0.1988
O  0.9939  0.2758  0.2807

=====

Here is an optimized crystal structure of TmBeAl2Au5 from Alexandria. Energies are from PBE-GGA.

SG = Immm
D(E_F) = 4.19 states/eV per cell
Theoretical density = 11.74 g/cm³
M_tot = 0.00 μB/f.u.
Energy relative to the elements = -32.53 kJ per mole of atoms

Cell lengths 7.5575, 7.5575, 7.5575 Å; angles 146.00, 134.00, 58.42 degrees
Fractional coordinates of all 9 atoms:
Tm  0.0000  0.0000  0.0000
Be  0.5000  0.5000  0.0000
Al  0.3044  0.8044  0.5000
Al  0.6956  0.1956  0.5000
Au  0.0987  0.3579  0.7408
Au  0.3829  0.6421  0.7408
Au  0.5000  0.0000  0.5000
Au  0.6171  0.3579  0.2592
Au  0.9013  0.6421  0.2592

=====

Here is an optimized crystal structure of PdRuNF2 from Alexandria. Energies are from PBE-GGA.

SG = P4/mmm
Energy relative to the elements, uncorrected = -0.0990 eV per atom
Relative energy among the computed polymorphs = 0.0000 eV/atom
D(E_F) = 7.41 states/eV per cell
Theoretical density = 6.56 g/cm³
M_tot = 0.13 μB/f.u.

Cell lengths 4.1841, 4.1841, 3.7509 Å; angles 90.00, 90.00, 90.00 degrees
Fractional coordinates of all 5 atoms:
Pd  0.0000  0.0000  0.0000
Ru  0.5000  0.5000  0.5000
N  0.5000  0.5000  0.0000
F  0.0000  0.5000  0.5000
F  0.5000  0.0000  0.5000

=====

Here is an optimized crystal structure of Mn2AlCo from Alexandria. Energies are from PBE-GGA.

SG = C2/m
Relative energy among the computed polymorphs = 0.2398 eV/atom
D(E_F) = 4.96 states/eV per cell
Theoretical density = 6.75 g/cm³
M_tot = 5.17 μB/f.u.
Energy relative to the elements = -2.51 kJ per mole of atoms

Cell lengths 4.8435, 4.8435, 2.5507 Å; angles 101.64, 101.64, 118.78 degrees
Fractional coordinates of all 4 atoms:
Mn  0.0000  0.5000  0.0000
Mn  0.5000  0.0000  0.0000
Al  0.0000  0.0000  0.5000
Co  0.5000  0.5000  0.5000

=====

Here is an optimized crystal structure of CeSm3Y2Er6 from Alexandria. Energies are from PBE-GGA.

SG = C2/m
D(E_F) = 18.27 states/eV per cell
Theoretical density = 7.76 g/cm³
M_tot = 1.12 μB/f.u.
Energy relative to the elements = 3.52 kJ per mole of atoms

Cell lengths 6.1572, 6.1572, 11.7349 Å; angles 95.01, 95.01, 119.98 degrees
Fractional coordinates of all 12 atoms:
Ce  0.0000  0.0000  0.0000
Sm  0.1676  0.8324  0.5000
Sm  0.5000  0.5000  0.5000
Sm  0.8324  0.1676  0.5000
Y  0.3333  0.6667  0.0000
Y  0.6667  0.3333  0.0000
Er  0.0833  0.4138  0.2486
Er  0.2474  0.2474  0.7513
Er  0.4138  0.0833  0.2486
Er  0.5862  0.9167  0.7514
Er  0.7526  0.7526  0.2487
Er  0.9167  0.5862  0.7514

=====

Here is an optimized crystal structure of MnZnNi6 from Alexandria. Energies are from PBE-GGA.

SG = Cmmm
Relative energy among the computed polymorphs = 0.0013 eV/atom
D(E_F) = 32.69 states/eV per cell
Theoretical density = 8.62 g/cm³
M_tot = 5.94 μB/f.u.
Energy relative to the elements = -10.85 kJ per mole of atoms

Cell lengths 6.1809, 6.1809, 10.1115 Å; angles 90.00, 90.00, 109.58 degrees
Fractional coordinates of all 32 atoms:
Mn  0.0000  0.0000  0.2504
Mn  0.0000  0.0000  0.7496
Mn  0.2486  0.7514  0.0000
Mn  0.7514  0.2486  0.0000
Zn  0.2493  0.7507  0.5000
Zn  0.5000  0.5000  0.2501
Zn  0.5000  0.5000  0.7499
Zn  0.7507  0.2493  0.5000
Ni  0.0000  0.0000  0.0000
Ni  0.0000  0.0000  0.5000
Ni  0.1244  0.3745  0.3743
Ni  0.1244  0.3745  0.6257
Ni  0.1242  0.3746  0.1245
Ni  0.1242  0.3746  0.8755
Ni  0.2491  0.7509  0.2488
Ni  0.2491  0.7509  0.7512
Ni  0.3745  0.1244  0.3743
Ni  0.3745  0.1244  0.6257
Ni  0.3746  0.1242  0.1245
Ni  0.3746  0.1242  0.8755
Ni  0.5000  0.5000  0.0000
Ni  0.5000  0.5000  0.5000
Ni  0.6254  0.8758  0.1245
Ni  0.6254  0.8758  0.8755
Ni  0.6255  0.8756  0.3743
Ni  0.6255  0.8756  0.6257
Ni  0.7509  0.2491  0.2488
Ni  0.7509  0.2491  0.7512
Ni  0.8758  0.6254  0.1245
Ni  0.8758  0.6254  0.8755
Ni  0.8756  0.6255  0.3743
Ni  0.8756  0.6255  0.6257